1.
Material: Pm2CuCl
Method: DFT, PBE
State: optimized geometry

Cell and atoms, written as CIF:
```
data_Pm2CuCl
_cell_length_a 4.1172
_cell_length_b 4.1172
_cell_length_c 20.5161
_cell_angle_alpha 90.00
_cell_angle_beta 90.00
_cell_angle_gamma 120.00
_symmetry_space_group_name_H-M 'R -3 m'
_symmetry_Int_Tables_number 166
_symmetry_space_group_name_Hall '-R 3 2"'
loop_
_atom_site_label
_atom_site_type_symbol
_atom_site_fract_x
_atom_site_fract_y
_atom_site_fract_z
Pm1 Pm 0.0000 0.0000 0.2458
Cu1 Cu 0.0000 0.0000 0.5000
Cl1 Cl 0.0000 0.0000 0.0000
```

Calculated values
**Energy above the most stable polymorph in this dataset**: 0 meV/atom
**Energy relative to the elements, uncorrected**: -3.080 eV/f.u.

2.
Material: La2Tb2SmHo
Method: DFT, PBE
State: optimized geometry

Cell and atoms, written as CIF:
```
data_La2Tb2SmHo
_cell_length_a 7.121
_cell_length_b 5.735
_cell_length_c 9.915
_cell_angle_alpha 90.00
_cell_angle_beta 90.00
_cell_angle_gamma 90.00
_symmetry_space_group_name_H-M 'P m m a'
_symmetry_Int_Tables_number 51
loop_
_symmetry_equiv_pos_as_xyz
'x,y,z'
'-x,-y,-z'
'-x+1/2,-y,z'
'x+1/2,y,-z'
'x+1/2,-y,-z'
'-x+1/2,y,z'
'-x,y,-z'
'x,-y,z'
loop_
_atom_site_label
_atom_site_type_symbol
_atom_site_fract_x
_atom_site_fract_y
_atom_site_fract_z
La1 La 0.000 0.000 0.000
La2 La 0.250 0.500 0.177
Tb1 Tb 0.250 0.000 0.334
Tb2 Tb 0.250 0.500 0.834
Sm1 Sm 0.250 0.000 0.659
Ho1 Ho 0.000 0.500 0.500
```

Calculated values
**DFT formation energy**: 0.06 eV/atom

3.
Material: K2LiSe
Method: DFT, PBE
State: optimized geometry

Cell and atoms, written as CIF:
```
data_K2LiSe
_cell_length_a 7.223
_cell_length_b 7.266
_cell_length_c 4.743
_cell_angle_alpha 90.00
_cell_angle_beta 90.00
_cell_angle_gamma 90.00
_symmetry_space_group_name_H-M 'C m m m'
_symmetry_Int_Tables_number 65
_symmetry_space_group_name_Hall '-C 2 2'
loop_
_atom_site_label
_atom_site_type_symbol
_atom_site_fract_x
_atom_site_fract_y
_atom_site_fract_z
K1 K 0.250 0.250 0.000
Li1 Li 0.000 0.000 0.500
Se1 Se 0.000 0.500 0.500
```

Calculated values
**Energy relative to the elements, uncorrected**: -2.004 eV/f.u.

4.
Material: Tb2HoHg
Method: DFT, PBE
State: optimized geometry

Cell and atoms, written as CIF:
```
data_Tb2HoHg
_cell_length_a 3.6057
_cell_length_b 3.6057
_cell_length_c 31.7837
_cell_angle_alpha 90.00
_cell_angle_beta 90.00
_cell_angle_gamma 120.00
_symmetry_space_group_name_H-M 'R -3 m'
_symmetry_Int_Tables_number 166
_symmetry_space_group_name_Hall '-R 3 2"'
loop_
_atom_site_label
_atom_site_type_symbol
_atom_site_fract_x
_atom_site_fract_y
_atom_site_fract_z
Tb1 Tb 0.0000 0.0000 0.2433
Ho1 Ho 0.0000 0.0000 0.0000
Hg1 Hg 0.0000 0.0000 0.5000
```

Calculated values
**Energy above the most stable polymorph in this dataset**: 69 meV/atom
**DFT formation energy**: -0.15 eV/atom

5.
Material: PrNd2Mg2Sn2
Method: DFT, PBE
State: optimized geometry

Cell and atoms, written as CIF:
```
data_PrNd2Mg2Sn2
_cell_length_a 5.0191
_cell_length_b 5.0191
_cell_length_c 27.4659
_cell_angle_alpha 90.00
_cell_angle_beta 90.00
_cell_angle_gamma 120.00
_symmetry_space_group_name_H-M 'R -3 m'
_symmetry_Int_Tables_number 166
_symmetry_space_group_name_Hall '-R 3 2"'
loop_
_atom_site_label
_atom_site_type_symbol
_atom_site_fract_x
_atom_site_fract_y
_atom_site_fract_z
Pr1 Pr 0.0000 0.0000 0.0000
Nd1 Nd 0.0000 0.0000 0.1307
Mg1 Mg 0.0000 0.0000 0.4051
Sn1 Sn 0.0000 0.0000 0.2637
```

Calculated values
**DFT formation energy**: -0.38 eV/atom

6.
Material: Rb3LaTh2Se6
Method: DFT, PBE
State: optimized geometry

Cell and atoms, written as CIF:
```
data_Rb3LaTh2Se6
_cell_length_a 7.514
_cell_length_b 13.014
_cell_length_c 8.487
_cell_angle_alpha 90.00
_cell_angle_beta 107.17
_cell_angle_gamma 90.00
_symmetry_space_group_name_H-M 'C 1 2/m 1'
_symmetry_Int_Tables_number 12
loop_
_symmetry_equiv_pos_as_xyz
'x,y,z'
'-x,-y,-z'
'-x,y,-z'
'x,-y,z'
'x+1/2,y+1/2,z'
'-x+1/2,-y+1/2,-z'
'-x+1/2,y+1/2,-z'
'x+1/2,-y+1/2,z'
loop_
_atom_site_label
_atom_site_type_symbol
_atom_site_fract_x
_atom_site_fract_y
_atom_site_fract_z
Rb1 Rb 0.000 0.000 0.000
Rb2 Rb 0.000 0.335 0.000
La1 La 0.000 0.500 0.500
Th1 Th 0.000 0.167 0.500
Se1 Se 0.226 0.000 0.705
Se2 Se 0.240 0.329 0.706
```

Calculated values
**Energy relative to the elements, uncorrected**: -19.344 eV/f.u.

7.
Material: CeErAl2
Method: DFT, PBE
State: optimized geometry

Cell and atoms, written as CIF:
```
data_CeErAl2
_cell_length_a 3.338
_cell_length_b 3.338
_cell_length_c 8.308
_cell_angle_alpha 90.00
_cell_angle_beta 90.00
_cell_angle_gamma 90.00
_symmetry_space_group_name_H-M 'P 4/m m m'
_symmetry_Int_Tables_number 123
_symmetry_space_group_name_Hall '-P 4 2'
loop_
_atom_site_label
_atom_site_type_symbol
_atom_site_fract_x
_atom_site_fract_y
_atom_site_fract_z
Ce1 Ce 0.000 0.000 0.000
Er1 Er 0.000 0.000 0.500
Al1 Al 0.500 0.500 0.257
```

Calculated values
**DFT formation energy**: -0.35 eV/atom

8.
Material: K2PbAu
Method: DFT, PBE
State: optimized geometry

Cell and atoms, written as CIF:
```
data_K2PbAu
_cell_length_a 3.889
_cell_length_b 4.136
_cell_length_c 9.950
_cell_angle_alpha 90.00
_cell_angle_beta 90.00
_cell_angle_gamma 90.00
_symmetry_space_group_name_H-M 'P m m 2'
_symmetry_Int_Tables_number 25
loop_
_symmetry_equiv_pos_as_xyz
'x,y,z'
'-x,-y,z'
'-x,y,z'
'x,-y,z'
loop_
_atom_site_label
_atom_site_type_symbol
_atom_site_fract_x
_atom_site_fract_y
_atom_site_fract_z
K1 K 0.000 0.000 0.000
K2 K 0.500 0.500 0.400
Pb1 Pb 0.000 0.000 0.656
Au1 Au 0.500 0.500 0.751
```

Calculated values
**DFT formation energy**: -0.12 eV/atom

9.
Material: ReTe2CI
Method: DFT, PBE
State: optimized geometry

Cell and atoms, written as CIF:
```
data_ReTe2CI
_cell_length_a 5.118
_cell_length_b 5.118
_cell_length_c 5.842
_cell_angle_alpha 90.00
_cell_angle_beta 90.00
_cell_angle_gamma 90.00
_symmetry_space_group_name_H-M 'P 4/m m m'
_symmetry_Int_Tables_number 123
_symmetry_space_group_name_Hall '-P 4 2'
loop_
_atom_site_label
_atom_site_type_symbol
_atom_site_fract_x
_atom_site_fract_y
_atom_site_fract_z
Re1 Re 0.000 0.000 0.000
Te1 Te 0.000 0.500 0.000
C1 C 0.500 0.500 0.500
I1 I 0.000 0.000 0.500
```

Calculated values
**Energy above the most stable polymorph in this dataset**: 90 meV/atom
**Energy relative to the elements, uncorrected**: 9.652 eV/f.u.

10.
Material: BeGePb2
Method: DFT, PBE
State: optimized geometry

Cell and atoms, written as CIF:
```
data_BeGePb2
_cell_length_a 7.219
_cell_length_b 7.219
_cell_length_c 7.219
_cell_angle_alpha 90.00
_cell_angle_beta 90.00
_cell_angle_gamma 90.00
_symmetry_space_group_name_H-M 'F m -3 m'
_symmetry_Int_Tables_number 225
_symmetry_space_group_name_Hall '-F 4 2 3'
loop_
_atom_site_label
_atom_site_type_symbol
_atom_site_fract_x
_atom_site_fract_y
_atom_site_fract_z
Be1 Be 0.000 0.000 0.000
Ge1 Ge 0.000 0.000 0.500
Pb1 Pb 0.250 0.250 0.250
```

Calculated values
**Energy above the most stable polymorph in this dataset**: 37 meV/atom
**DFT formation energy**: 0.56 eV/atom

11.
Material: RbCaNiCl6
Method: DFT, PBE
State: optimized geometry

Cell and atoms, written as CIF:
```
data_RbCaNiCl6
_cell_length_a 6.926
_cell_length_b 11.175
_cell_length_c 7.242
_cell_angle_alpha 90.00
_cell_angle_beta 92.46
_cell_angle_gamma 90.00
_symmetry_space_group_name_H-M 'C 1 2 1'
_symmetry_Int_Tables_number 5
loop_
_symmetry_equiv_pos_as_xyz
'x,y,z'
'-x,y,-z'
'x+1/2,y+1/2,z'
'-x+1/2,y+1/2,-z'
loop_
_atom_site_label
_atom_site_type_symbol
_atom_site_fract_x
_atom_site_fract_y
_atom_site_fract_z
Rb1 Rb 0.000 0.000 0.000
Ca1 Ca 0.000 0.675 0.500
Ni1 Ni 0.000 0.327 0.500
Cl1 Cl 0.135 0.470 0.680
Cl2 Cl 0.153 0.188 0.677
Cl3 Cl 0.221 0.818 0.718
```

Calculated values
**Energy relative to the elements, uncorrected**: -12.804 eV/f.u.

12.
Material: BaLiMo2
Method: DFT, PBE
State: optimized geometry

Cell and atoms, written as CIF:
```
data_BaLiMo2
_cell_length_a 3.333
_cell_length_b 5.275
_cell_length_c 10.306
_cell_angle_alpha 90.00
_cell_angle_beta 90.00
_cell_angle_gamma 90.00
_symmetry_space_group_name_H-M 'C m m 2'
_symmetry_Int_Tables_number 35
loop_
_symmetry_equiv_pos_as_xyz
'x,y,z'
'-x,-y,z'
'-x,y,z'
'x,-y,z'
'x+1/2,y+1/2,z'
'-x+1/2,-y+1/2,z'
'-x+1/2,y+1/2,z'
'x+1/2,-y+1/2,z'
loop_
_atom_site_label
_atom_site_type_symbol
_atom_site_fract_x
_atom_site_fract_y
_atom_site_fract_z
Ba1 Ba 0.000 0.000 0.000
Li1 Li 0.000 0.500 0.680
Mo1 Mo 0.000 0.000 0.458
Mo2 Mo 0.000 0.500 0.285
```

Calculated values
**Energy above the most stable polymorph in this dataset**: 152 meV/atom
**DFT formation energy**: 0.72 eV/atom

no.,magnetic moment (Bohr magnetons per cell)
1,0.0
2,0.0
3,1.6
4,0.0
5,0.0
6,0.0
7,0.1
8,0.0
9,1.8
10,0.0
11,2.0
12,0.0